LaMgGe2 PBE optimized geometry; energy of formation from the pure elements = -0.394 eV/atom; calculated density = 5.20 g/cm3; DFT total energy = -4.333 eV/atom; SG = Amm2 (38); M_tot = 0.00 Bohr magnetons per cell; DOS(E_F) = 0.44 states/eV per atom; calculated volume = 24.63 A^3/atom
1.0
3.637 0.000 0.000
0.000 5.291 0.197
0.000 -1.554 5.061
La Mg Ge
1 1 2
Cartesian
0.000 -1.473 5.003 La
1.819 2.493 2.185 Mg
1.819 -0.193 2.542 Ge
1.819 1.273 4.605 Ge



LiAs2PbO6 PBE optimized geometry; energy relative to the elements, uncorrected = -12.919 eV per formula unit; calculated density = 4.92 g/cm3; DFT total energy = -5.759 eV/atom; SG = C2/c (15); M_tot = 0.00 Bohr magnetons per cell; DOS(E_F) = 0.24 states/eV per atom; calculated volume = 15.54 A^3/atom
1.0
6.408 0.192 0.199
2.264 7.030 0.225
2.264 -0.035 7.034
Li As Pb O
2 4 2 12
Cartesian
3.866 1.547 5.605 Li
7.070 5.640 1.853 Li
5.272 5.498 4.658 As
2.461 2.640 1.692 As
5.664 1.689 2.800 As
8.476 4.547 5.767 As
3.866 6.118 1.200 Pb
7.070 1.069 6.258 Pb
5.197 6.773 5.840 O
2.536 1.506 0.374 O
5.740 0.414 1.618 O
8.401 5.681 7.084 O
5.571 6.071 3.074 O
2.161 4.244 1.178 O
5.365 1.116 4.384 O
8.775 2.943 6.280 O
3.467 4.870 4.527 O
4.266 2.748 2.325 O
7.470 2.317 2.931 O
6.671 4.439 5.134 O



Ag4SCl PBE optimized geometry; energy relative to the elements, uncorrected = 0.059 eV per formula unit; calculated density = 5.33 g/cm3; DFT total energy = -2.887 eV/atom; SG = I4_1md (109); polymorph energy (0 for the lowest one) = 77 meV/atom; M_tot = 0.00 Bohr magnetons per cell; DOS(E_F) = 0.14 states/eV per atom; calculated volume = 25.92 A^3/atom
1.0
-7.984 -2.420 0.194
-1.479 -4.595 6.807
3.595 7.453 -1.085
Ag S Cl
8 2 2
Cartesian
-1.326 -0.078 6.092 Ag
-3.437 1.942 2.433 Ag
-6.060 -2.823 3.650 Ag
-2.104 -2.830 6.157 Ag
-0.697 2.603 2.924 Ag
-4.134 -0.504 5.746 Ag
-6.054 -4.189 6.164 Ag
-2.178 -1.229 3.788 Ag
-7.832 -5.805 5.795 S
-2.929 1.972 0.098 S
-1.853 -1.373 1.371 Cl
-6.413 -0.611 2.676 Cl